4
Lattice="5.146 0.000 0.000 2.573 4.457 0.000 2.573 1.486 4.202" Properties=species:S:1:pos:R:3 comment="AcScGaCu | Alexandria via LeMat-Bulk | GGA-PBE | relaxed" dos_at_fermi_per_ev_cell=3.77 crystal_system=cubic spacegroup="F-43m (216)" magnetic_moment_mub_per_atom=0.00 delta_e_f_mev_per_atom=-224 pbc="T T T"
Ac 7.719 4.457 3.151
Ga 0.000 0.000 0.000
Sc 2.573 1.486 1.050
Cu 5.146 2.971 2.101